Entry 1:
# Ca2NCl

A relaxed structure of Ca2NCl (PBEsol, Alexandria via LeMat-Bulk).

a b c (Å): 6.411 6.411 6.411
angles (deg): 90.00 90.00 90.00
Space group Fm-3m (No. 225)
Inequivalent atoms, fractional coordinates:
Ca (0.250, 0.250, 0.250) x8
N (0.000, 0.000, 0.000) x4
Cl (0.000, 0.000, 0.500) x4

## Properties
Crystal system   cubic
Formation energy without anion corrections   -1.036 eV per atom
V   65.9 Å³/f.u.

Entry 2:
# Ca2NCl

A relaxed structure of Ca2NCl (PBEsol, Alexandria via LeMat-Bulk).

a b c (Å): 6.518 6.518 8.188
angles (deg): 90.00 90.00 90.00
Space group I-42d (No. 122)
Inequivalent atoms, fractional coordinates:
Ca (0.177, 0.250, 0.125) x8
N (0.000, 0.000, 0.000) x4
Cl (0.000, 0.000, 0.500) x4

## Properties
Crystal system   tetragonal
Formation energy without anion corrections   -1.428 eV per atom
V   87.0 Å³/f.u.

Entry 3:
# CaN2ClO

A relaxed structure of CaN2ClO (PBEsol, Alexandria via LeMat-Bulk).

a b c (Å): 4.804 4.804 4.428
angles (deg): 90.00 90.00 90.00
Space group P4/mmm (No. 123)
Inequivalent atoms, fractional coordinates:
Ca (0.000, 0.000, 0.000) x1
N (0.000, 0.500, 0.000) x2
Cl (0.500, 0.500, 0.500) x1
O (0.000, 0.000, 0.500) x1

## Properties
Crystal system   tetragonal
Formation energy without anion corrections   1.367 eV per atom
V   102.2 Å³/f.u.

Entry 4:
# CaPd2NCl

A relaxed structure of CaPd2NCl (PBEsol, Alexandria via LeMat-Bulk).

a b c (Å): 4.364 4.364 5.352
angles (deg): 90.00 90.00 90.00
Space group P4/mmm (No. 123)
Inequivalent atoms, fractional coordinates:
Ca (0.000, 0.000, 0.000) x1
Pd (0.000, 0.500, 0.500) x2
N (0.500, 0.500, 0.000) x1
Cl (0.000, 0.000, 0.500) x1

## Properties
Crystal system   tetragonal
Formation energy without anion corrections   0.634 eV per atom
V   101.9 Å³/f.u.

The highest formation energy without anion corrections belongs to which entry? CaN2ClO

What is the formula in the first record? Ca2NCl

Number 3 is which compound? CaN2ClO

What did the first record say?
# Ca2NCl

A relaxed structure of Ca2NCl (PBEsol, Alexandria via LeMat-Bulk).

a b c (Å): 6.411 6.411 6.411
angles (deg): 90.00 90.00 90.00
Space group Fm-3m (No. 225)
Inequivalent atoms, fractional coordinates:
Ca (0.250, 0.250, 0.250) x8
N (0.000, 0.000, 0.000) x4
Cl (0.000, 0.000, 0.500) x4

## Properties
Crystal system   cubic
Formation energy without anion corrections   -1.036 eV per atom
V   65.9 Å³/f.u.